## VCoTeO6 (PBE with a Hubbard U)

Data for a relaxed VCoTeO6 crystal.

Total moment, μB/f.u.: 4.00
VASP energy, eV/atom: -6.319

Cell: 5.115 5.115 9.008 Å, 90.00 90.00 120.00°
Site moments in Bohr magnetons follow the coordinates.
Fractional coordinates of all 18 atoms:
1 V 0.333 0.667 0.250  1.17
2 V 0.667 0.333 0.750  1.17
3 Co 0.000 0.000 0.000  2.75
4 Co 0.000 0.000 0.500  2.75
5 Te 0.667 0.333 0.250  0.03
6 Te 0.333 0.667 0.750  0.03
7 O 0.648 0.648 0.133  -0.01
8 O 0.000 0.352 0.133  -0.01
9 O 0.352 0.000 0.633  -0.01
10 O 0.000 0.648 0.867  -0.01
11 O 0.352 0.352 0.367  -0.01
12 O 0.000 0.648 0.367  -0.01
13 O 0.648 0.000 0.867  -0.01
14 O 0.648 0.000 0.367  -0.01
15 O 0.000 0.352 0.633  -0.01
16 O 0.352 0.000 0.133  -0.01
17 O 0.648 0.648 0.633  -0.01
18 O 0.352 0.352 0.867  -0.01